(1)
VSbTe2W (GGA-PBE, relaxed); E above lowest polymorph = 0.000 eV per atom; ΔE_f (raw) = 1045 meV/atom
1.0
-1.701 -0.625 -4.998
0.165 -5.279 0.604
-4.968 0.038 1.686
Sb Te W V
1 2 1 1
direct
0.000 0.000 0.500
0.000 0.500 0.000
0.500 0.000 0.000
0.000 0.000 0.000
0.500 0.500 0.500

(2)
YVSbTe2 (GGA-PBE, relaxed); E above lowest polymorph = 0.852 eV per atom; ΔE_f (raw) = 767 meV/atom
1.0
5.754 0.000 0.000
0.000 5.754 0.000
0.000 0.000 5.760
Y Sb Te V
1 1 2 1
direct
0.000 0.000 0.000
0.000 0.000 0.500
0.000 0.500 0.000
0.500 0.000 0.000
0.500 0.500 0.500

(3)
Y2VSbTe (GGA-PBE, relaxed); ΔE_f (raw) = -85 meV/atom
1.0
5.439 0.000 0.000
0.000 4.874 0.000
0.000 0.000 5.439
Y Sb Te V
2 1 1 1
direct
0.000 0.000 0.500
0.500 0.000 0.000
0.000 0.500 0.000
0.500 0.500 0.500
0.000 0.000 0.000

(4)
YVSbTe2 (GGA-PBE, relaxed); E above lowest polymorph = 0.000 eV per atom; ΔE_f (raw) = -85 meV/atom
1.0
5.272 0.000 0.000
0.000 5.272 0.000
0.000 0.000 5.040
Y Sb Te V
1 1 2 1
direct
0.500 0.500 0.500
0.000 0.000 0.500
0.000 0.500 0.000
0.500 0.000 0.000
0.000 0.000 0.000